The following is a DFT calculation (GGA-PBE) of a relaxed structure of NaNi2Rh2.

Cell: 7.4418 7.4418 2.6260 Å, 90.00 90.00 90.00°
Closest atoms and distances in Å follow each position.
Space group P4/mbm (No. 127)
Symmetry-distinct sites (fractional):
Na (0.0000, 0.0000, 0.0000) (multiplicity 2)  2 Na 2.63
Ni (0.1184, 0.3816, 0.0000) (multiplicity 4)  3 Ni 2.49-2.63, 6 Rh 2.55-2.58
Rh (0.1742, 0.6742, 0.5000) (multiplicity 4)  6 Ni 2.55-2.58, 2 Rh 2.63

Its total DFT energy (no corrections) is -5.3333 eV per atom. The energy of formation from the pure elements comes out at 183.6 meV/atom. Its magnetization is 2.2 μB per formula unit.

---

The following is a DFT calculation (GGA-PBE) of a relaxed structure of NaNi2Rh2.

Cell: 7.4796 7.4796 2.6214 Å, 90.00 90.00 90.00°
Closest atoms and distances in Å follow each position.
Space group P4/mbm (No. 127)
Symmetry-distinct sites (fractional):
Na (0.0000, 0.0000, 0.0000) (multiplicity 2)  2 Na 2.62
Ni (0.1725, 0.3275, 0.5000) (multiplicity 4)  6 Rh 2.52-2.60, 2 Ni 2.62
Rh (0.1244, 0.6244, 0.0000) (multiplicity 4)  6 Ni 2.52-2.60, 3 Rh 2.62-2.63

Its total DFT energy (no corrections) is -5.3409 eV per atom. The energy of formation from the pure elements comes out at 176.0 meV/atom. Its magnetization is 1.9 μB per formula unit.

---

The following is a DFT calculation (GGA-PBE) of a relaxed structure of Na2Ni2Rh.

Cell: 6.0915 6.0915 4.7750 Å, 90.00 90.00 90.00°
Closest atoms and distances in Å follow each position.
Space group P4/mbm (No. 127)
Symmetry-distinct sites (fractional):
Na (0.1835, 0.3165, 0.0000) (multiplicity 4)  6 Ni 2.88-3.07, 5 Na 3.15-3.16
Ni (0.1292, 0.6292, 0.5000) (multiplicity 4)  1 Ni 2.23, 2 Rh 2.39
Rh (0.0000, 0.0000, 0.5000) (multiplicity 2)  4 Ni 2.39

Its total DFT energy (no corrections) is -3.9316 eV per atom. The energy of formation from the pure elements comes out at 378.8 meV/atom. Its magnetization is 1.1 μB per formula unit.

---

The following is a DFT calculation (GGA-PBE) of a relaxed structure of NaNiRh3.

Cell: 4.5620 4.5620 4.5620 Å, 90.00 90.00 90.00°
Closest atoms and distances in Å follow each position.
Space group Pm-3m (No. 221)
Symmetry-distinct sites (fractional):
Na (0.0000, 0.0000, 0.0000) (multiplicity 1)  12 Rh 3.23
Ni (0.5000, 0.5000, 0.5000) (multiplicity 1)  6 Rh 2.28
Rh (0.0000, 0.5000, 0.5000) (multiplicity 3)  2 Ni 2.28

Its total DFT energy (no corrections) is -4.9204 eV per atom. The energy of formation from the pure elements comes out at 910.6 meV/atom. Its magnetization is 3.5 μB per formula unit.

---

The following is a DFT calculation (GGA-PBE) of a relaxed structure of NaNiRh3.

Cell: 4.4760 4.4760 4.4760 Å, 90.00 90.00 90.00°
Closest atoms and distances in Å follow each position.
Space group Pm-3m (No. 221)
Symmetry-distinct sites (fractional):
Na (0.0000, 0.0000, 0.0000) (multiplicity 1)  6 Rh 2.24
Ni (0.5000, 0.5000, 0.5000) (multiplicity 1)  12 Rh 3.17
Rh (0.0000, 0.0000, 0.5000) (multiplicity 3)  2 Na 2.24

Its total DFT energy (no corrections) is -3.9241 eV per atom. The energy of formation from the pure elements comes out at 1906.8 meV/atom. Its magnetization is 3.9 μB per formula unit.

---

The following is a DFT calculation (GGA-PBE) of a relaxed structure of Na4NiRh3S8.

Cell: 7.2332 7.2332 18.9275 Å, 90.00 90.00 120.00°
Closest atoms and distances in Å follow each position.
Space group R-3m (No. 166, hexagonal axes)
Symmetry-distinct sites (fractional):
Na (0.0000, 0.0000, 0.0000) (multiplicity 3)  6 S 2.89
Na (0.0000, 0.5000, 0.0000) (multiplicity 9)  6 S 2.87
Ni (0.0000, 0.0000, 0.5000) (multiplicity 3)  6 S 2.38
Rh (0.0000, 0.5000, 0.5000) (multiplicity 9)  6 S 2.40-2.41
S (0.0000, 0.0000, 0.2295) (multiplicity 6)  3 Rh 2.40
S (0.0039, 0.5019, 0.2289) (multiplicity 18)  1 Ni 2.38, 2 Rh 2.41

Its total DFT energy (no corrections) is -4.8256 eV per atom. Its magnetization is 0.7 μB per formula unit. The formation energy from raw total energies comes out at -0.69 eV/atom.

---

The following is a DFT calculation (GGA-PBE) of a relaxed structure of NaNiRhS3.

Cell: 7.5556 3.5968 8.4812 Å, 90.00 108.17 90.00°
Closest atoms and distances in Å follow each position.
Space group P2_1/m (No. 11)
Symmetry-distinct sites (fractional):
Na (0.2181, 0.2500, 0.2491) (multiplicity 2)  7 S 2.93-3.04
Ni (0.0882, 0.2500, 0.6147) (multiplicity 2)  4 S 2.17-2.23
Rh (0.3192, 0.7500, 0.8445) (multiplicity 2)  6 S 2.41-2.48
S (0.1176, 0.2500, 0.8776) (multiplicity 2)  1 Ni 2.17, 2 Rh 2.43
S (0.2125, 0.7500, 0.5369) (multiplicity 2)  3 Ni 2.22-2.23, 1 Rh 2.48
S (0.4629, 0.7500, 0.1406) (multiplicity 2)  3 Rh 2.41

Its total DFT energy (no corrections) is -5.0421 eV per atom. Its magnetization is 0.0 μB per formula unit. The formation energy from raw total energies comes out at -0.57 eV/atom.

---

The following is a DFT calculation (GGA-PBE) of a relaxed structure of Na4NiRh3Se8.

Cell: 7.5882 7.5882 20.0016 Å, 90.00 90.00 120.00°
Closest atoms and distances in Å follow each position.
Space group R-3m (No. 166, hexagonal axes)
Symmetry-distinct sites (fractional):
Na (0.0000, 0.0000, 0.0000) (multiplicity 3)  6 Se 3.05
Na (0.0000, 0.5000, 0.0000) (multiplicity 9)  6 Se 3.02
Ni (0.0000, 0.0000, 0.5000) (multiplicity 3)  6 Se 2.50
Rh (0.0000, 0.5000, 0.5000) (multiplicity 9)  6 Se 2.53
Se (0.0000, 0.0000, 0.2297) (multiplicity 6)  3 Rh 2.53
Se (0.0043, 0.5021, 0.2289) (multiplicity 18)  1 Ni 2.50, 2 Rh 2.53

Its total DFT energy (no corrections) is -4.4506 eV per atom. Its magnetization is 0.0 μB per formula unit. The formation energy from raw total energies comes out at -0.64 eV/atom.

---

The following is a DFT calculation (GGA-PBE) of a relaxed structure of Na2NiRh2Se6.

Cell: 6.4621 11.1934 7.1411 Å, 90.00 107.79 90.00°
Closest atoms and distances in Å follow each position.
Space group C2/m (No. 12)
Symmetry-distinct sites (fractional):
Na (0.0000, 0.1664, 0.0000) (multiplicity 4)  6 Se 3.01-3.09
Ni (0.0000, 0.0000, 0.5000) (multiplicity 2)  6 Se 2.43
Rh (0.0000, 0.3322, 0.5000) (multiplicity 4)  6 Se 2.50-2.53
Se (0.2237, 0.1620, 0.6826) (multiplicity 8)  1 Ni 2.43, 2 Rh 2.50-2.51
Se (0.2396, 0.5000, 0.6841) (multiplicity 4)  1 Ni 2.43, 2 Rh 2.53

Its total DFT energy (no corrections) is -4.5676 eV per atom. Its magnetization is 0.0 μB per formula unit. The formation energy from raw total energies comes out at -0.56 eV/atom.

---

The following is a DFT calculation (GGA-PBE) of a relaxed structure of Na2YNiRh.

Cell: 4.7662 4.7662 5.2144 Å, 90.00 90.00 90.00°
Closest atoms and distances in Å follow each position.
Space group P4/mmm (No. 123)
Symmetry-distinct sites (fractional):
Na (0.0000, 0.5000, 0.0000) (multiplicity 2)  2 Ni 2.38
Y (0.0000, 0.0000, 0.5000) (multiplicity 1)  2 Ni 2.61
Ni (0.0000, 0.0000, 0.0000) (multiplicity 1)  4 Na 2.38, 2 Y 2.61
Rh (0.5000, 0.5000, 0.5000) (multiplicity 1)  4 Y 3.37, 8 Na 3.53

Its total DFT energy (no corrections) is -3.8131 eV per atom. The energy of formation from the pure elements comes out at 633.8 meV/atom. Its magnetization is 0.0 μB per formula unit.

---

The following is a DFT calculation (GGA-PBE) of a relaxed structure of NaNi2Ru.

Cell: 6.9007 6.9007 5.3835 Å, 90.00 90.00 90.00°
Closest atoms and distances in Å follow each position.
Space group I-42d (No. 122)
Symmetry-distinct sites (fractional):
Na (0.0000, 0.0000, 0.0000) (multiplicity 4)  2 Ru 2.69, 4 Ni 2.72
Ni (0.2112, 0.7500, 0.6250) (multiplicity 8)  2 Ru 2.36
Ru (0.0000, 0.0000, 0.5000) (multiplicity 4)  4 Ni 2.36

Its total DFT energy (no corrections) is -4.6783 eV per atom. The energy of formation from the pure elements comes out at 861.1 meV/atom. Its magnetization is 3.0 μB per formula unit.

---

The following is a DFT calculation (GGA-PBE) of a relaxed structure of Na3NiRu.

Cell: 5.5416 5.5416 5.5416 Å, 90.00 90.00 90.00°
Closest atoms and distances in Å follow each position.
Space group Pm-3m (No. 221)
Symmetry-distinct sites (fractional):
Na (0.0000, 0.0000, 0.5000) (multiplicity 3)  2 Ru 2.77
Ni (0.5000, 0.5000, 0.5000) (multiplicity 1)  12 Na 3.92
Ru (0.0000, 0.0000, 0.0000) (multiplicity 1)  6 Na 2.77

Its total DFT energy (no corrections) is -2.2975 eV per atom. The energy of formation from the pure elements comes out at 1505.4 meV/atom. Its magnetization is 3.0 μB per formula unit.